(1)
{
  "formula": "Y3Al3Ni2Ir",
  "functional": "PBE",
  "state": "optimized geometry",
  "space_group": "P-62m",
  "energy_ev_per_cell": -56.84,
  "m_tot_mub_per_cell": 0.0,
  "cell": [[7.0368, 0.0000, 0.0000], [-3.5184, 6.0941, 0.0000], [0.0000, 0.0000, 3.9238]],
  "species": ["Al", "Al", "Al", "Ir", "Ni", "Ni", "Y", "Y", "Y"],
  "fractional_positions": [[0.7589, 0.0000, 0.5000], [0.2411, 0.2411, 0.5000], [0.0000, 0.7589, 0.5000], [0.0000, 0.0000, 0.0000], [0.6667, 0.3333, 0.5000], [0.3333, 0.6667, 0.5000], [0.4197, 0.0000, 0.0000], [0.0000, 0.4197, 0.0000], [0.5803, 0.5803, 0.0000]]
}

---

(2)
{
  "formula": "Y2AlNiIr",
  "functional": "PBE",
  "state": "optimized geometry",
  "space_group": "Imm2",
  "energy_ev_per_cell": -34.81,
  "m_tot_mub_per_cell": 0.0,
  "cell": [[-0.2236, -2.1434, 5.0719], [3.1489, 4.4318, -0.9011], [-5.3994, -0.9452, 0.5666]],
  "species": ["Al", "Ir", "Ni", "Y", "Y"],
  "fractional_positions": [[0.0048, 0.0048, 0.0000], [0.7319, 0.2319, 0.5000], [0.2575, 0.7575, 0.5000], [0.7028, 0.5029, 0.1999], [0.3030, 0.5029, 0.8001]]
}

---

(3)
{
  "formula": "Y3Al3NiIr2",
  "functional": "PBE",
  "state": "optimized geometry",
  "space_group": "P-62m",
  "energy_ev_per_cell": -61.09,
  "m_tot_mub_per_cell": 0.0,
  "cell": [[6.9726, 0.0000, 0.0000], [-3.4863, 6.0385, 0.0000], [0.0000, 0.0000, 4.0352]],
  "species": ["Al", "Al", "Al", "Ir", "Ir", "Ni", "Y", "Y", "Y"],
  "fractional_positions": [[0.7634, 0.0000, 0.5000], [0.2366, 0.2366, 0.5000], [0.0000, 0.7634, 0.5000], [0.6667, 0.3333, 0.5000], [0.3333, 0.6667, 0.5000], [0.0000, 0.0000, 0.0000], [0.4086, 0.0000, 0.0000], [0.0000, 0.4086, 0.0000], [0.5914, 0.5914, 0.0000]]
}

---

(4)
{
  "formula": "Y2Al4NiIr",
  "functional": "PBE",
  "state": "optimized geometry",
  "space_group": "Amm2",
  "energy_ev_per_cell": -48.35,
  "m_tot_mub_per_cell": 0.0,
  "cell": [[-5.2930, 4.3023, 1.6707], [-0.3107, -2.3276, 5.0096], [2.2760, 0.8713, 4.9670]],
  "species": ["Al", "Al", "Al", "Al", "Ir", "Ni", "Y", "Y"],
  "fractional_positions": [[0.2022, 0.3436, 0.3436], [0.7978, 0.3436, 0.3436], [0.3115, 0.6545, 0.6545], [0.6885, 0.6545, 0.6545], [0.0000, 0.7845, 0.7845], [0.5000, 0.2159, 0.2159], [0.0000, 0.0648, 0.0648], [0.5000, 0.9385, 0.9385]]
}

---

(5)
{
  "formula": "Zr3AlZn2NiIr2",
  "functional": "PBE",
  "state": "optimized geometry",
  "space_group": "Amm2",
  "energy_ev_per_cell": -61.25,
  "m_tot_mub_per_cell": 0.0,
  "cell": [[3.4883, 0.0000, 0.0000], [0.0000, 6.1952, 3.5362], [0.0000, -6.1952, 3.5362]],
  "species": ["Al", "Ir", "Ir", "Ni", "Zn", "Zn", "Zr", "Zr", "Zr"],
  "fractional_positions": [[0.0000, 0.7543, 0.7543], [0.0000, 0.6680, 0.3407], [0.0000, 0.3407, 0.6680], [0.5000, 0.9929, 0.9929], [0.0000, 0.9979, 0.2487], [0.0000, 0.2487, 0.9979], [0.5000, 0.5956, 0.0033], [0.5000, 0.3986, 0.3986], [0.5000, 0.0033, 0.5956]]
}

---

(6)
{
  "formula": "Zr3Al2ZnNiIr2",
  "functional": "PBE",
  "state": "optimized geometry",
  "space_group": "Amm2",
  "energy_ev_per_cell": -64.46,
  "m_tot_mub_per_cell": 0.0,
  "cell": [[3.4938, 0.0000, 0.0000], [0.0000, 6.1440, 3.5685], [0.0000, -6.1440, 3.5685]],
  "species": ["Al", "Al", "Ir", "Ir", "Ni", "Zn", "Zr", "Zr", "Zr"],
  "fractional_positions": [[0.5000, 0.2479, 0.0025], [0.5000, 0.0025, 0.2479], [0.5000, 0.6658, 0.3264], [0.5000, 0.3264, 0.6658], [0.0000, 0.0068, 0.0068], [0.5000, 0.7495, 0.7495], [0.0000, 0.4095, 0.4095], [0.0000, 0.9956, 0.5960], [0.0000, 0.5960, 0.9956]]
}

---

(7)
{
  "formula": "Zr3Al3Ni2Ir",
  "functional": "PBE",
  "state": "optimized geometry",
  "space_group": "P-62m",
  "energy_ev_per_cell": -63.24,
  "m_tot_mub_per_cell": 0.0,
  "cell": [[6.8756, 0.0000, 0.0000], [-3.4378, 5.9544, 0.0000], [0.0000, 0.0000, 3.6882]],
  "species": ["Al", "Al", "Al", "Ir", "Ni", "Ni", "Zr", "Zr", "Zr"],
  "fractional_positions": [[0.2577, 0.0000, 0.5000], [0.0000, 0.2577, 0.5000], [0.7423, 0.7423, 0.5000], [0.0000, 0.0000, 0.0000], [0.6667, 0.3333, 0.5000], [0.3333, 0.6667, 0.5000], [0.5882, 0.0000, 0.0000], [0.4118, 0.4118, 0.0000], [0.0000, 0.5882, 0.0000]]
}

---

(8)
{
  "formula": "NpAlIr",
  "functional": "PBE",
  "state": "optimized geometry",
  "space_group": "F-43m",
  "energy_ev_per_cell": -26.15,
  "m_tot_mub_per_cell": 3.9,
  "cell": [[-1.3185, 4.1636, 1.0121], [0.0772, 1.4031, 4.2572], [3.0152, 3.0524, 1.2998]],
  "species": ["Al", "Ir", "Np"],
  "fractional_positions": [[0.7500, 0.7500, 0.7500], [0.0000, 0.0000, 0.0000], [0.2500, 0.2500, 0.2500]]
}

---

(9)
{
  "formula": "AlIr2O4",
  "functional": "PBE",
  "state": "optimized geometry",
  "space_group": "Fd-3m",
  "energy_ev_per_cell": -93.59,
  "m_tot_mub_per_cell": 0.0,
  "cell": [[4.2677, -4.2708, 0.0000], [-4.2677, 0.0000, -4.2708], [4.2677, 4.2708, 0.0000]],
  "species": ["Al", "Al", "Ir", "Ir", "Ir", "Ir", "O", "O", "O", "O", "O", "O", "O", "O"],
  "fractional_positions": [[0.0000, 0.0000, 0.0000], [0.7500, 0.5000, 0.2500], [0.3750, 0.7500, 0.1250], [0.8750, 0.2500, 0.6250], [0.3750, 0.2500, 0.6250], [0.3750, 0.7500, 0.6250], [0.1242, 0.2484, 0.3726], [0.6258, 0.7484, 0.3741], [0.6259, 0.2516, 0.3742], [0.1226, 0.7484, 0.3742], [0.1241, 0.2484, 0.8758], [0.6274, 0.7516, 0.8758], [0.1242, 0.7516, 0.8759], [0.6258, 0.2516, 0.8774]]
}

---

(10)
{
  "formula": "AlIrO3",
  "functional": "PBE",
  "state": "optimized geometry",
  "space_group": "R-3c",
  "energy_ev_per_cell": -69.27,
  "m_tot_mub_per_cell": 0.0,
  "cell": [[-5.2776, 0.7299, 0.2349], [-3.0949, -2.9656, 3.1730], [-2.3497, 2.0513, 4.3257]],
  "species": ["Al", "Al", "Ir", "Ir", "O", "O", "O", "O", "O", "O"],
  "fractional_positions": [[0.2500, 0.2500, 0.2500], [0.7500, 0.7500, 0.7500], [0.0000, 0.0000, 0.0000], [0.5000, 0.5000, 0.5000], [0.7500, 0.4160, 0.0840], [0.5840, 0.9160, 0.2500], [0.0840, 0.7500, 0.4160], [0.9160, 0.2500, 0.5840], [0.4160, 0.0840, 0.7500], [0.2500, 0.5840, 0.9160]]
}

---

(11)
{
  "formula": "AlIrO6",
  "functional": "PBE",
  "state": "optimized geometry",
  "space_group": "F-43m",
  "energy_ev_per_cell": -42.05,
  "m_tot_mub_per_cell": 0.0,
  "cell": [[0.0000, 3.5468, 3.5468], [3.5468, 0.0000, 3.5468], [3.5468, 3.5468, 0.0000]],
  "species": ["Al", "Ir", "O", "O", "O", "O", "O", "O"],
  "fractional_positions": [[0.2500, 0.2500, 0.2500], [0.0000, 0.0000, 0.0000], [0.7374, 0.2626, 0.2626], [0.2626, 0.7374, 0.2626], [0.7374, 0.7374, 0.2626], [0.2626, 0.2626, 0.7374], [0.7374, 0.2626, 0.7374], [0.2626, 0.7374, 0.7374]]
}

---

(12)
{
  "formula": "AlPIrO",
  "functional": "PBE",
  "state": "optimized geometry",
  "space_group": "Pmc2_1",
  "relative_energy_mev_per_atom": 487,
  "m_tot_mub_per_cell": 0.0,
  "cell": [[-2.7079, 1.3486, -0.8954], [-3.4309, -7.0046, -0.1742], [-1.2519, 0.5003, 4.5398]],
  "species": ["Al", "Al", "Ir", "Ir", "O", "O", "P", "P"],
  "fractional_positions": [[0.5000, 0.8791, 0.0525], [0.5000, 0.1209, 0.5525], [0.0000, 0.6091, 0.4052], [0.0000, 0.3909, 0.9052], [0.5000, 0.9165, 0.4102], [0.5000, 0.0835, 0.9102], [0.0000, 0.3254, 0.3860], [0.0000, 0.6746, 0.8860]]
}

---

Which formula does entry 10 have?
AlIrO3